1) First-principles (PBE-GGA) data for a relaxed Zn2Os2W crystal, as listed in Alexandria via LeMat-Bulk.

Unit cell a=6.899 b=6.899 c=3.184 alpha=90.00 beta=90.00 gamma=90.00
Sites, in units of the cell vectors:
1 Zn 0.163 0.337 0.000
2 Zn 0.337 0.837 0.000
3 Zn 0.663 0.163 0.000
4 Zn 0.837 0.663 0.000
5 Os 0.136 0.636 0.500
6 Os 0.364 0.136 0.500
7 Os 0.636 0.864 0.500
8 Os 0.864 0.364 0.500
9 W 0.000 0.000 0.500
10 W 0.500 0.500 0.500


2) First-principles (PBE-GGA) data for a relaxed Zn2Os2W crystal, as listed in Alexandria via LeMat-Bulk.

Unit cell a=7.566 b=7.566 c=7.566 alpha=155.23 beta=155.23 gamma=35.32
Sites, in units of the cell vectors:
1 Zn 0.250 0.750 0.500
2 Zn 0.750 0.250 0.500
3 Os 0.100 0.100 0.000
4 Os 0.900 0.900 0.000
5 W 0.500 0.500 0.000


Q: What are the energies relative to the best structure? A: 1) 192; 2) 0, in meV/atom.